[1]
Computed, not measured: an optimized crystal structure of SrSn3Ru at the GGA-PBE level of DFT.

abc: 5.764 5.764 5.764
angles: 90.00 90.00 90.00
Fractional coordinates of all 5 atoms:
Sr  0.000  0.000  0.000
Sn  0.000  0.000  0.500
Sn  0.000  0.500  0.000
Sn  0.500  0.000  0.000
Ru  0.500  0.500  0.500

DFT formation energy   1.743 eV/atom
Magnetic moment   0.380 μB/atom
Space group   Pm-3m (221)
DFT total energy   -14.25 eV per cell

---

[2]
Computed, not measured: an optimized crystal structure of LaHoZn3 at the GGA-PBE level of DFT.

abc: 13.797 13.797 4.606
angles: 90.00 90.00 164.84
Fractional coordinates of all 10 atoms:
La  0.075  0.925  0.750
La  0.925  0.075  0.250
Ho  0.210  0.790  0.250
Ho  0.790  0.210  0.750
Zn  0.323  0.677  0.250
Zn  0.377  0.623  0.750
Zn  0.476  0.524  0.750
Zn  0.524  0.476  0.250
Zn  0.623  0.377  0.250
Zn  0.677  0.323  0.750

DFT formation energy   -0.329 eV/atom
Magnetic moment   0.000 μB/atom
Space group   Cmcm (63)
DFT total energy   -29.94 eV per cell

---

[3]
Computed, not measured: an optimized crystal structure of CaBeHg4 at the GGA-PBE level of DFT.

abc: 5.977 5.977 5.977
angles: 60.00 60.00 60.00
Fractional coordinates of all 6 atoms:
Ca  0.000  0.000  0.000
Be  0.250  0.250  0.250
Hg  0.126  0.625  0.625
Hg  0.625  0.126  0.625
Hg  0.625  0.625  0.126
Hg  0.625  0.625  0.625

DFT formation energy   0.266 eV/atom
Magnetic moment   0.000 μB/atom
Space group   F-43m (216)
DFT total energy   -5.34 eV per cell

---

[4]
Computed, not measured: an optimized crystal structure of Tl4O3 at the GGA-PBE level of DFT.

abc: 8.104 3.556 11.367
angles: 90.00 109.59 90.00
Fractional coordinates of all 14 atoms:
Tl  0.064  0.250  0.391
Tl  0.200  0.750  0.167
Tl  0.258  0.250  0.869
Tl  0.403  0.750  0.622
Tl  0.597  0.250  0.378
Tl  0.742  0.750  0.131
Tl  0.800  0.250  0.833
Tl  0.936  0.750  0.609
O  0.023  0.750  0.820
O  0.140  0.250  0.607
O  0.250  0.750  0.399
O  0.750  0.250  0.601
O  0.860  0.750  0.393
O  0.977  0.250  0.180

Formation energy without anion corrections   -61.46 kJ/mol of atoms
Magnetic moment   0.000 μB/atom
Space group   P2_1/m (11)
DFT total energy   -57.60 eV per cell

---

What did the first record say?
Computed, not measured: an optimized crystal structure of SrSn3Ru at the GGA-PBE level of DFT.

abc: 5.764 5.764 5.764
angles: 90.00 90.00 90.00
Fractional coordinates of all 5 atoms:
Sr  0.000  0.000  0.000
Sn  0.000  0.000  0.500
Sn  0.000  0.500  0.000
Sn  0.500  0.000  0.000
Ru  0.500  0.500  0.500

DFT formation energy   1.743 eV/atom
Magnetic moment   0.380 μB/atom
Space group   Pm-3m (221)
DFT total energy   -14.25 eV per cell

---

Question: Which formula does entry 1 have?
Answer: SrSn3Ru

---

Question: Look up the magnetic moment of the first one.
Answer: 0.380 μB/atom